Record 1
La2FeCl | GGA-PBE | relaxed

Properties
Raw formation energy = -402 meV/atom
Energy relative to the lowest polymorph listed for this composition = 0.3013 eV/atom
Space-group type = No. 71

Cell lengths 5.2908, 5.2908, 5.2908 Å; angles 132.12, 108.97, 90.24 degrees
Last column: nearest neighbours and their distance in Å.
Element x y z (fractional)
La1 0.2274 0.2274 0.0000  2 Fe 2.74, 2 Cl 2.96
La2 0.7726 0.7726 0.0000  2 Fe 2.74, 2 Cl 2.96
Fe1 0.0000 0.5000 0.5000  4 La 2.74
Cl1 0.5000 0.0000 0.5000  4 La 2.96

Record 2
La4FeCl5 | GGA-PBE | relaxed

Properties
Raw formation energy = -1642 meV/atom
Space-group type = No. 12

Cell lengths 9.1909, 9.1909, 8.9349 Å; angles 107.33, 107.33, 26.89 degrees
Last column: nearest neighbours and their distance in Å.
Element x y z (fractional)
La1 0.0059 0.0059 0.2414  4 Cl 2.85-3.17, 2 Fe 3.01
La2 0.3571 0.3571 0.9216  1 Fe 2.43
La3 0.6429 0.6429 0.0784  1 Fe 2.43
La4 0.9941 0.9941 0.7586  4 Cl 2.85-3.17, 2 Fe 3.01
Fe1 0.5000 0.5000 0.0000  2 La 2.43
Cl1 0.1660 0.1660 0.8617  3 La 2.93-3.00
Cl2 0.1730 0.1730 0.3158  3 La 2.85-2.94
Cl3 0.5000 0.5000 0.5000  4 La 3.17
Cl4 0.8270 0.8270 0.6842  3 La 2.85-2.94
Cl5 0.8340 0.8340 0.1383  3 La 2.93-3.00

Record 3
La5FeCl5 | GGA-PBE | relaxed

Properties
Raw formation energy = -1455 meV/atom
Space-group type = No. 12

Cell lengths 7.1614, 7.1614, 8.5586 Å; angles 109.22, 109.22, 48.85 degrees
Last column: nearest neighbours and their distance in Å.
Element x y z (fractional)
La1 0.0000 0.0000 0.0000  2 Fe 2.96, 4 Cl 3.05-3.07
La2 0.3292 0.3292 0.1466  1 Fe 2.93, 5 Cl 2.99-3.22
La3 0.3590 0.3590 0.7179  1 Fe 2.45
La4 0.6410 0.6410 0.2821  1 Fe 2.45
La5 0.6708 0.6708 0.8534  1 Fe 2.93, 5 Cl 2.99-3.22
Fe1 0.5000 0.5000 0.0000  2 La 2.45
Cl1 0.1536 0.1536 0.8006  5 La 2.99-3.07
Cl2 0.1687 0.1687 0.3573  5 La 3.02-3.22
Cl3 0.5000 0.5000 0.5000  4 La 3.04-3.06
Cl4 0.8313 0.8313 0.6427  5 La 3.02-3.22
Cl5 0.8464 0.8464 0.1994  5 La 2.99-3.07

Record 4
La2FeCl | GGA-PBE | relaxed

Properties
Raw formation energy = -307 meV/atom
Energy relative to the lowest polymorph listed for this composition = 0.3957 eV/atom
Space-group type = No. 225

Cell lengths 5.1209, 5.1209, 5.1209 Å; angles 60.00, 60.00, 60.00 degrees
Last column: nearest neighbours and their distance in Å.
Element x y z (fractional)
La1 0.2500 0.2500 0.2500  4 Cl 3.14, 4 Fe 3.14
La2 0.7500 0.7500 0.7500  4 Cl 3.14, 4 Fe 3.14
Fe1 0.0000 0.0000 0.0000  8 La 3.14
Cl1 0.5000 0.5000 0.5000  8 La 3.14